No. 1
This record from Alexandria describes a relaxed structure of VBi2SbO8. The functional is GGA+U.

The space group is Cmmm (No. 65) and the conventional cell measures 7.005, 7.154 and 6.632 Å, with angles of 90.00, 90.00 and 90.00 degrees. The asymmetric unit holds V at (0.000, 0.000, 0.000), Bi at (0.000, 0.500, 0.245), Sb at (0.000, 0.000, 0.500), O at (0.000, 0.175, 0.255), O at (0.212, 0.500, 0.500) and O at (0.235, 0.500, 0.000).

For the density, the calculation gives 7.18 Mg/m³. The calculation puts the calculated total energy at -6.271 eV/atom.



No. 2
This record from Alexandria describes a relaxed structure of BiSbWO6. The functional is GGA+U.

The space group is C2 (No. 5) and the conventional cell measures 17.286, 5.526 and 5.425 Å, with angles of 90.00, 90.75 and 90.00 degrees. The asymmetric unit holds Bi at (0.171, 0.000, 0.030), Sb at (0.177, 0.497, 0.458), W at (0.000, 0.082, 0.500), W at (0.000, 0.580, 0.000), O at (0.022, 0.355, 0.754), O at (0.023, 0.858, 0.751), O at (0.106, 0.131, 0.409), O at (0.106, 0.623, 0.101), O at (0.240, 0.308, 0.210) and O at (0.244, 0.795, 0.298).

For the density, the calculation gives 7.83 Mg/m³. The calculation puts the calculated total energy at -6.623 eV/atom.